First-principles (PBE-GGA) data for a geometry-optimized HfZr2Al2Pd5 structure, as listed in Alexandria.

Computed properties:
The calculation puts the formation energy at -66.76 kJ per mole of atoms. The calculation puts the density of states at the Fermi level at 15.26 states/eV per cell. The calculation puts the total magnetization at 0.00 μB per cell. As for the space group: No. 127.

Cell lengths 3.598, 9.850, 9.850 Å; angles 90.00, 90.00, 90.00 degrees
Sites, in units of the cell vectors:
1 Hf 0.000 0.000 0.000
2 Hf 0.000 0.500 0.500
3 Zr 0.000 0.676 0.176
4 Zr 0.000 0.324 0.824
5 Zr 0.000 0.176 0.324
6 Zr 0.000 0.824 0.676
7 Al 0.000 0.124 0.624
8 Al 0.000 0.876 0.376
9 Al 0.000 0.624 0.876
10 Al 0.000 0.376 0.124
11 Pd 0.500 0.206 0.050
12 Pd 0.500 0.794 0.950
13 Pd 0.500 0.050 0.794
14 Pd 0.500 0.706 0.450
15 Pd 0.500 0.950 0.206
16 Pd 0.500 0.294 0.550
17 Pd 0.500 0.550 0.706
18 Pd 0.500 0.450 0.294
19 Pd 0.500 0.500 0.000
20 Pd 0.500 0.000 0.500